First-principles (PBE-GGA) data for a relaxed structure of Nd2SmDy2Ho2, as listed in the Alexandria database.

```
data_Nd2SmDy2Ho2
_cell_length_a 11.7759
_cell_length_b 3.5295
_cell_length_c 11.8655
_cell_angle_alpha 90.00
_cell_angle_beta 109.05
_cell_angle_gamma 90.00
_symmetry_space_group_name_H-M 'C 1 2/m 1'
_symmetry_Int_Tables_number 12
_symmetry_space_group_name_Hall '-C 2y'
loop_
_atom_site_label
_atom_site_type_symbol
_atom_site_fract_x
_atom_site_fract_y
_atom_site_fract_z
Nd1 Nd 0.1714 0.0000 0.0842
Sm1 Sm 0.0000 0.5000 0.5000
Dy1 Dy 0.2252 0.5000 0.3628
Ho1 Ho 0.0505 0.0000 0.7708
```

- volume (Å³/atom) = 33.30
- E_tot (eV per cell) = -64.017
- density of states at the Fermi level (states/eV/f.u.) = 12.107
- energy of formation from the pure elements (eV per atom) = 0.0866